Density functional theory data (PBE-GGA) for a relaxed structure of K4AgIr.

Output
- Energy of formation from the pure elements: 0.921 eV/atom
- Final energy: -10.6 eV for the cell shown

abc: 6.439 6.439 6.439
angles: 60.00 60.00 60.00
Element x y z (fractional)
Ag 0.750 0.750 0.750
K 0.374 0.374 0.374
K 0.374 0.877 0.374
K 0.374 0.374 0.877
K 0.877 0.374 0.374
Ir 0.000 0.000 0.000